V5Pb | PBE-GGA | relaxed

a = 3.2291 Å, b = 4.4426 Å, c = 6.7056 Å
α = 109.35°, β = 90.00°, γ = 90.00°
Atoms (fractional coordinates):
Pb (0.0000, 0.0000, 0.0000)
V (0.5000, 0.8143, 0.6286)
V (0.5000, 0.5000, 0.0000)
V (0.5000, 0.1857, 0.3714)
V (0.0000, 0.6640, 0.3281)
V (0.0000, 0.3360, 0.6719)

## Properties
Energy relative to the elements (eV per atom): 0.18
E_tot (eV/atom): -8.04

NbH12Br6 | PBE-GGA | relaxed

a = 7.4782 Å, b = 7.4782 Å, c = 7.4782 Å
α = 95.83°, β = 95.83°, γ = 95.83°
Each line ends with the local moment (μB).
Atoms (fractional coordinates):
H (0.2416, 0.0671, 0.0908)  0.12
H (0.7451, 0.2808, 0.4118)  0.00
Nb (0.0000, 0.0000, 0.0000)  0.84
H (0.9329, 0.9092, 0.7584)  0.12
H (0.7192, 0.5882, 0.2549)  0.00
H (0.7584, 0.9329, 0.9092)  0.12
H (0.2808, 0.4118, 0.7451)  0.00
H (0.0908, 0.2416, 0.0671)  0.12
Br (0.7272, 0.7840, 0.3068)  0.02
Br (0.7840, 0.3068, 0.7272)  0.02
Br (0.6932, 0.2728, 0.2160)  0.02
H (0.0671, 0.0908, 0.2416)  0.12
H (0.5882, 0.2549, 0.7192)  0.00
H (0.9092, 0.7584, 0.9329)  0.12
Br (0.2160, 0.6932, 0.2728)  0.02
H (0.2549, 0.7192, 0.5882)  0.00
Br (0.2728, 0.2160, 0.6932)  0.02
H (0.4118, 0.7451, 0.2808)  0.00
Br (0.3068, 0.7272, 0.7840)  0.02

## Properties
E_tot (eV/atom): -2.89

Ba2NaInCo | PBE-GGA | relaxed

a = 5.9479 Å, b = 5.9479 Å, c = 5.1263 Å
α = 90.00°, β = 90.00°, γ = 90.00°
Atoms (fractional coordinates):
Na (0.5000, 0.5000, 0.5000)
Ba (0.0000, 0.5000, 0.0000)
Ba (0.5000, 0.0000, 0.0000)
In (0.0000, 0.0000, 0.5000)
Co (0.0000, 0.0000, 0.0000)

## Properties
Energy relative to the elements (eV per atom): 0.03
E_tot (eV/atom): -2.97

Ca2LaNd2 | PBE-GGA | relaxed

a = 9.6492 Å, b = 9.6492 Å, c = 4.0797 Å
α = 90.00°, β = 90.00°, γ = 90.00°
Atoms (fractional coordinates):
Nd (0.1261, 0.6261, 0.0000)
Nd (0.8739, 0.3739, 0.0000)
Ca (0.8277, 0.6723, 0.5000)
Ca (0.3277, 0.8277, 0.5000)
Ca (0.1723, 0.3277, 0.5000)
La (0.0000, 0.0000, 0.0000)
La (0.5000, 0.5000, 0.0000)
Ca (0.6723, 0.1723, 0.5000)
Nd (0.6261, 0.8739, 0.0000)
Nd (0.3739, 0.1261, 0.0000)

## Properties
Energy relative to the elements (eV per atom): 0.18
E_tot (eV/atom): -3.52

Cs3BrCl2 | PBE-GGA | relaxed

a = 7.1777 Å, b = 10.1490 Å, c = 15.2036 Å
α = 90.00°, β = 90.00°, γ = 89.95°
Atoms (fractional coordinates):
Cl (0.2495, 0.8785, 0.4152)
Cl (0.2511, 0.8754, 0.7542)
Br (0.2493, 0.8732, 0.0794)
Cs (0.7495, 0.8844, 0.4110)
Cl (0.7489, 0.6246, 0.2542)
Cl (0.7489, 0.1246, 0.2458)
Br (0.7507, 0.1268, 0.9206)
Cl (0.7505, 0.6215, 0.9152)
Cs (0.7511, 0.8740, 0.7528)
Br (0.7507, 0.6268, 0.5794)
Cs (0.2505, 0.1156, 0.5890)
Br (0.2493, 0.3732, 0.4206)
Cs (0.2505, 0.6156, 0.9110)
Cs (0.2509, 0.1355, 0.9129)
Cl (0.7505, 0.1215, 0.5848)
Cs (0.2489, 0.1260, 0.2472)
Cs (0.2489, 0.6260, 0.2528)
Cs (0.7491, 0.3645, 0.4129)
Cs (0.7491, 0.8645, 0.0871)
Cl (0.2495, 0.3785, 0.0848)
Cl (0.2511, 0.3754, 0.7458)
Cs (0.2509, 0.6355, 0.5871)
Cs (0.7511, 0.3740, 0.7472)
Cs (0.7495, 0.3844, 0.0890)

## Properties
E_tot (eV/atom): -3.22
ΔE_f (raw) (eV per atom): -1.903